(1)
The following is a PBE calculation of crystalline Pr7Sn3 at its relaxed geometry, from Alexandria via LeMat-Bulk.

Properties
- DFT formation energy (meV per atom) = -500

Cell: 5.070 6.986 9.591 Å, 105.83 105.33 90.00°
Positions (direct):
Pr 0.204 0.139 0.409
Pr 0.587 0.818 0.173
Pr 0.382 0.659 0.763
Pr 0.000 0.500 0.000
Sn 0.812 0.355 0.624
Pr 0.413 0.182 0.827
Pr 0.796 0.861 0.591
Pr 0.618 0.341 0.237
Sn 0.188 0.645 0.376
Sn 0.000 0.000 0.000

(2)
The following is a PBE calculation of crystalline TmCu2Pd8 at its relaxed geometry, from Alexandria via LeMat-Bulk.

Properties
- energy above the most stable polymorph in this dataset (eV/atom) = 0.163
- DFT formation energy (meV per atom) = -194

Cell: 4.675 7.282 6.870 Å, 57.99 77.27 65.44°
Positions (direct):
Pd 0.690 0.593 0.000
Pd 0.882 0.325 0.762
Pd 0.882 0.087 0.238
Pd 0.118 0.675 0.238
Pd 0.500 0.232 0.536
Pd 0.310 0.407 0.000
Tm 0.500 0.000 0.000
Cu 0.000 0.310 0.380
Cu 0.000 0.690 0.620
Pd 0.500 0.768 0.464
Pd 0.118 0.913 0.762

(3)
The following is a PBE calculation of crystalline Ac2Al4InPt3 at its relaxed geometry, from Alexandria via LeMat-Bulk.

Properties
- DFT formation energy (meV per atom) = -912

Cell: 4.467 4.467 10.782 Å, 90.00 90.00 90.00°
Positions (direct):
In 0.500 0.500 0.500
Pt 0.000 0.000 0.500
Al 0.000 0.500 0.357
Al 0.500 0.500 0.000
Pt 0.000 0.500 0.122
Al 0.000 0.000 0.000
Al 0.500 0.000 0.643
Ac 0.500 0.000 0.243
Pt 0.500 0.000 0.878
Ac 0.000 0.500 0.757

(4)
The following is a PBE calculation of crystalline K3HoB2O6 at its relaxed geometry, from Alexandria via LeMat-Bulk.

Properties
- uncorrected formation energy (meV/atom) = -2499.2

Cell: 5.558 5.558 6.905 Å, 90.00 90.00 120.00°
Positions (direct):
O 0.188 0.377 0.302
O 0.623 0.812 0.302
Ho 0.000 0.000 0.500
K 0.667 0.333 0.259
O 0.812 0.188 0.698
K 0.000 0.000 0.000
B 0.667 0.333 0.699
B 0.333 0.667 0.301
O 0.188 0.812 0.302
K 0.333 0.667 0.741
O 0.812 0.623 0.698
O 0.377 0.188 0.698

(5)
The following is a PBE calculation of crystalline Sr3Cu2As3 at its relaxed geometry, from Alexandria via LeMat-Bulk.

Properties
- DFT formation energy (meV per atom) = -753

Cell: 4.240 6.148 16.413 Å, 90.00 90.00 110.17°
Positions (direct):
Sr 0.118 0.236 0.913
Sr 0.591 0.182 0.250
As 0.609 0.219 0.434
As 0.700 0.399 0.750
As 0.609 0.219 0.066
Cu 0.177 0.353 0.377
Cu 0.823 0.647 0.877
Cu 0.823 0.647 0.623
Cu 0.177 0.353 0.123
Sr 0.409 0.818 0.750
As 0.391 0.781 0.566
As 0.300 0.601 0.250
Sr 0.882 0.764 0.087
Sr 0.118 0.236 0.587
Sr 0.882 0.764 0.413
As 0.391 0.781 0.934

(6)
The following is a PBE calculation of crystalline HfThCo5Si2 at its relaxed geometry, from Alexandria via LeMat-Bulk.

Properties
- uncorrected formation energy (meV/atom) = -396.7

Cell: 3.868 3.868 8.485 Å, 90.00 90.00 90.00°
Positions (direct):
Co 0.500 0.500 0.500
Co 0.000 0.500 0.737
Th 0.000 0.000 0.500
Si 0.500 0.500 0.862
Si 0.500 0.500 0.138
Hf 0.000 0.000 0.000
Co 0.500 0.000 0.263
Co 0.500 0.000 0.737
Co 0.000 0.500 0.263

(7)
The following is a PBE calculation of crystalline Sc2TaIr at its relaxed geometry, from Alexandria via LeMat-Bulk.

Properties
- energy above the most stable polymorph in this dataset (eV/atom) = 0.503
- DFT formation energy (meV per atom) = 103

Cell: 10.013 10.013 10.013 Å, 17.40 17.40 17.40°
Each line ends with the local moment (μB).
Positions (direct):
Sc 0.096 0.096 0.096  0.07
Sc 0.904 0.904 0.904  0.07
Ta 0.000 0.000 0.000  0.48
Ir 0.500 0.500 0.500  0.00

(8)
The following is a PBE calculation of crystalline MgGaP2 at its relaxed geometry, from Alexandria via LeMat-Bulk.

Properties
- energy above the most stable polymorph in this dataset (eV/atom) = 0.367
- DFT formation energy (meV per atom) = 158

Cell: 4.583 4.583 4.583 Å, 60.00 60.00 60.00°
Positions (direct):
Ga 0.500 0.500 0.500
P 0.750 0.750 0.750
P 0.250 0.250 0.250
Mg 0.000 0.000 0.000

no.,calculated total energy (eV for the cell shown)
1,-50.46
2,-56.34
3,-53.16
4,-80.96
5,-66.43
6,-67.32
7,-32.96
8,-14.81